1.
A plane-wave DFT calculation with GGA-PBE was carried out for an optimized crystal structure of Y3SnTe2. Values from VASP.

Structure (Quantum ESPRESSO input):
```
&SYSTEM
  ibrav = 0, nat = 12, ntyp = 3
/
ATOMIC_SPECIES
Y 88.91 Y.upf
Sn 118.71 Sn.upf
Te 127.60 Te.upf
CELL_PARAMETERS angstrom
3.807 -6.583 0.000
3.807 6.583 0.000
-2.541 0.000 7.156
ATOMIC_POSITIONS crystal
Y 0.000 0.500 0.000
Y 0.157 0.314 0.497
Y 0.314 0.157 0.997
Y 0.500 0.000 0.500
Y 0.686 0.843 0.003
Y 0.843 0.686 0.503
Sn 0.087 0.913 0.250
Sn 0.913 0.087 0.750
Te 0.254 0.746 0.750
Te 0.418 0.582 0.250
Te 0.582 0.418 0.750
Te 0.746 0.254 0.250
```

N(E_F)	0.2241	states/eV per atom
raw formation energy	-1.204	eV per atom
symmetry	C2/c, No. 15
polymorph energy (0 for the lowest one)	0.0	meV per atom
total magnetic moment	0.00	Bohr magnetons per cell


2.
A plane-wave DFT calculation with GGA-PBE was carried out for an optimized crystal structure of Pr2Y6Er3Mg. Values from VASP.

Structure (Quantum ESPRESSO input):
```
&SYSTEM
  ibrav = 0, nat = 12, ntyp = 4
/
ATOMIC_SPECIES
Pr 140.91 Pr.upf
Y 88.91 Y.upf
Er 167.26 Er.upf
Mg 24.30 Mg.upf
CELL_PARAMETERS angstrom
3.077 -5.333 0.000
3.077 5.333 0.000
-2.065 0.000 11.612
ATOMIC_POSITIONS crystal
Pr 0.167 0.833 0.000
Pr 0.833 0.167 0.000
Y 0.085 0.416 0.747
Y 0.253 0.253 0.253
Y 0.416 0.085 0.747
Y 0.584 0.915 0.253
Y 0.747 0.747 0.747
Y 0.915 0.584 0.253
Er 0.000 0.000 0.500
Er 0.335 0.665 0.500
Er 0.665 0.335 0.500
Mg 0.500 0.500 0.000
```

N(E_F)	1.5686	states/eV per atom
energy relative to the elements	0.02	eV per atom
symmetry	C2/m, No. 12
total magnetic moment	0.00	Bohr magnetons per cell


3.
A plane-wave DFT calculation with GGA-PBE was carried out for an optimized crystal structure of Nb2AsAu2. Values from VASP.

Structure (Quantum ESPRESSO input):
```
&SYSTEM
  ibrav = 0, nat = 10, ntyp = 3
/
ATOMIC_SPECIES
Nb 92.91 Nb.upf
As 74.92 As.upf
Au 196.97 Au.upf
CELL_PARAMETERS angstrom
6.703 0.000 0.000
0.000 6.703 0.000
0.000 0.000 4.272
ATOMIC_POSITIONS crystal
Nb 0.145 0.355 0.000
Nb 0.355 0.855 0.000
Nb 0.645 0.145 0.000
Nb 0.855 0.645 0.000
As 0.000 0.000 0.000
As 0.500 0.500 0.000
Au 0.149 0.649 0.500
Au 0.351 0.149 0.500
Au 0.649 0.851 0.500
Au 0.851 0.351 0.500
```

N(E_F)	0.8579	states/eV per atom
energy relative to the elements	-0.10	eV per atom
symmetry	P4/mbm, No. 127
total magnetic moment	0.00	Bohr magnetons per cell


4.
A plane-wave DFT calculation with GGA-PBE was carried out for an optimized crystal structure of Mo2IrOs. Values from VASP.

Structure (Quantum ESPRESSO input):
```
&SYSTEM
  ibrav = 0, nat = 8, ntyp = 3
/
ATOMIC_SPECIES
Mo 95.94 Mo.upf
Ir 192.22 Ir.upf
Os 190.23 Os.upf
CELL_PARAMETERS angstrom
6.570 0.000 0.000
0.000 2.765 0.000
-2.026 0.000 7.040
ATOMIC_POSITIONS crystal
Mo 0.012 0.250 0.318
Mo 0.364 0.750 0.583
Mo 0.636 0.250 0.417
Mo 0.988 0.750 0.682
Ir 0.313 0.250 0.896
Ir 0.687 0.750 0.104
Os 0.297 0.750 0.204
Os 0.703 0.250 0.796
```

N(E_F)	0.8162	states/eV per atom
energy relative to the elements	0.18	eV per atom
symmetry	P2_1/m, No. 11
polymorph energy (0 for the lowest one)	310.0	meV per atom
total magnetic moment	0.00	Bohr magnetons per cell


5.
A plane-wave DFT calculation with GGA-PBE was carried out for an optimized crystal structure of Mn12Re3Ru5. Values from VASP.

Structure (Quantum ESPRESSO input):
```
&SYSTEM
  ibrav = 0, nat = 80, ntyp = 3
/
ATOMIC_SPECIES
Mn 54.94 Mn.upf
Re 186.21 Re.upf
Ru 101.07 Ru.upf
CELL_PARAMETERS angstrom
-6.873 6.873 6.873
6.873 -6.873 6.873
6.873 6.873 -6.873
ATOMIC_POSITIONS crystal
Mn 0.064 0.230 0.140
Mn 0.064 0.334 0.925
Mn 0.075 0.640 0.409
Mn 0.075 0.936 0.666
Mn 0.091 0.730 0.666
Mn 0.091 0.860 0.425
Mn 0.140 0.064 0.230
Mn 0.140 0.575 0.909
Mn 0.166 0.230 0.591
Mn 0.166 0.436 0.575
Mn 0.230 0.140 0.064
Mn 0.230 0.591 0.166
Mn 0.270 0.334 0.909
Mn 0.270 0.436 0.360
Mn 0.334 0.909 0.270
Mn 0.334 0.925 0.064
Mn 0.360 0.270 0.436
Mn 0.360 0.591 0.925
Mn 0.409 0.075 0.640
Mn 0.409 0.834 0.770
Mn 0.425 0.091 0.860
Mn 0.425 0.834 0.564
Mn 0.436 0.360 0.270
Mn 0.436 0.575 0.166
Mn 0.564 0.425 0.834
Mn 0.564 0.640 0.730
Mn 0.575 0.166 0.436
Mn 0.575 0.909 0.140
Mn 0.591 0.166 0.230
Mn 0.591 0.925 0.360
Mn 0.640 0.409 0.075
Mn 0.640 0.730 0.564
Mn 0.666 0.075 0.936
Mn 0.666 0.091 0.730
Mn 0.730 0.564 0.640
Mn 0.730 0.666 0.091
Mn 0.770 0.409 0.834
Mn 0.770 0.860 0.936
Mn 0.834 0.564 0.425
Mn 0.834 0.770 0.409
Mn 0.860 0.425 0.091
Mn 0.860 0.936 0.770
Mn 0.909 0.140 0.575
Mn 0.909 0.270 0.334
Mn 0.925 0.064 0.334
Mn 0.925 0.360 0.591
Mn 0.936 0.666 0.075
Mn 0.936 0.770 0.860
Re 0.125 0.250 0.375
Re 0.125 0.375 0.750
Re 0.250 0.375 0.125
Re 0.250 0.875 0.625
Re 0.375 0.125 0.250
Re 0.375 0.750 0.125
Re 0.625 0.250 0.875
Re 0.625 0.875 0.750
Re 0.750 0.125 0.375
Re 0.750 0.625 0.875
Re 0.875 0.625 0.250
Re 0.875 0.750 0.625
Ru 0.000 0.000 0.000
Ru 0.000 0.000 0.500
Ru 0.000 0.500 0.000
Ru 0.000 0.500 0.500
Ru 0.125 0.750 0.875
Ru 0.125 0.875 0.250
Ru 0.250 0.125 0.875
Ru 0.250 0.625 0.375
Ru 0.375 0.250 0.625
Ru 0.375 0.625 0.750
Ru 0.500 0.000 0.000
Ru 0.500 0.000 0.500
Ru 0.500 0.500 0.000
Ru 0.500 0.500 0.500
Ru 0.625 0.375 0.250
Ru 0.625 0.750 0.375
Ru 0.750 0.375 0.625
Ru 0.750 0.875 0.125
Ru 0.875 0.125 0.750
Ru 0.875 0.250 0.125
```

N(E_F)	1.2831	states/eV per atom
energy relative to the elements	1.00	eV per atom
symmetry	Ia-3d, No. 230
total magnetic moment	67.24	Bohr magnetons per cell


6.
A plane-wave DFT calculation with GGA-PBE was carried out for an optimized crystal structure of Rb2Mg. Values from VASP.

Structure (Quantum ESPRESSO input):
```
&SYSTEM
  ibrav = 0, nat = 12, ntyp = 2
/
ATOMIC_SPECIES
Rb 85.47 Rb.upf
Mg 24.30 Mg.upf
CELL_PARAMETERS angstrom
9.385 0.000 0.000
0.000 9.385 0.000
0.000 0.000 9.385
ATOMIC_POSITIONS crystal
Rb 0.250 0.250 0.250
Rb 0.250 0.250 0.750
Rb 0.250 0.750 0.250
Rb 0.250 0.750 0.750
Rb 0.750 0.250 0.250
Rb 0.750 0.250 0.750
Rb 0.750 0.750 0.250
Rb 0.750 0.750 0.750
Mg 0.000 0.000 0.000
Mg 0.000 0.500 0.500
Mg 0.500 0.000 0.500
Mg 0.500 0.500 0.000
```

N(E_F)	0.5625	states/eV per atom
energy relative to the elements	0.25	eV per atom
symmetry	Fm-3m, No. 225
polymorph energy (0 for the lowest one)	88.7	meV per atom
total magnetic moment	0.00	Bohr magnetons per cell


7.
A plane-wave DFT calculation with GGA-PBE was carried out for an optimized crystal structure of HfCoGe2. Values from VASP.

Structure (Quantum ESPRESSO input):
```
&SYSTEM
  ibrav = 0, nat = 16, ntyp = 3
/
ATOMIC_SPECIES
Hf 178.49 Hf.upf
Co 58.93 Co.upf
Ge 72.64 Ge.upf
CELL_PARAMETERS angstrom
6.341 0.000 0.000
0.000 6.341 0.000
0.000 0.000 6.341
ATOMIC_POSITIONS crystal
Hf 0.000 0.000 0.000
Hf 0.000 0.500 0.500
Hf 0.500 0.000 0.500
Hf 0.500 0.500 0.000
Co 0.000 0.000 0.500
Co 0.000 0.500 0.000
Co 0.500 0.000 0.000
Co 0.500 0.500 0.500
Ge 0.250 0.250 0.250
Ge 0.250 0.250 0.750
Ge 0.250 0.750 0.250
Ge 0.250 0.750 0.750
Ge 0.750 0.250 0.250
Ge 0.750 0.250 0.750
Ge 0.750 0.750 0.250
Ge 0.750 0.750 0.750
```

N(E_F)	0.8837	states/eV per atom
energy relative to the elements	-0.02	eV per atom
symmetry	Fm-3m, No. 225
total magnetic moment	4.09	Bohr magnetons per cell


8.
A plane-wave DFT calculation with GGA-PBE was carried out for an optimized crystal structure of FeHIrPd2. Values from VASP.

Structure (Quantum ESPRESSO input):
```
&SYSTEM
  ibrav = 0, nat = 5, ntyp = 4
/
ATOMIC_SPECIES
Fe 55.84 Fe.upf
H 1.01 H.upf
Ir 192.22 Ir.upf
Pd 106.42 Pd.upf
CELL_PARAMETERS angstrom
3.895 0.000 0.000
0.000 3.895 0.000
0.000 0.000 3.833
ATOMIC_POSITIONS crystal
Fe 0.000 0.000 0.000
H 0.000 0.000 0.500
Ir 0.500 0.500 0.000
Pd 0.000 0.500 0.500
Pd 0.500 0.000 0.500
```

N(E_F)	1.3193	states/eV per atom
symmetry	P4/mmm, No. 123
polymorph energy (0 for the lowest one)	206.4	meV per atom
total magnetic moment	0.00	Bohr magnetons per cell


9.
A plane-wave DFT calculation with GGA-PBE was carried out for an optimized crystal structure of LiAcHgRh. Values from VASP.

Structure (Quantum ESPRESSO input):
```
&SYSTEM
  ibrav = 0, nat = 16, ntyp = 4
/
ATOMIC_SPECIES
Li 6.94 Li.upf
Ac 227.00 Ac.upf
Hg 200.59 Hg.upf
Rh 102.91 Rh.upf
CELL_PARAMETERS angstrom
7.085 0.000 0.000
0.000 7.085 0.000
0.000 0.000 7.085
ATOMIC_POSITIONS crystal
Li 0.000 0.000 0.000
Li 0.000 0.500 0.500
Li 0.500 0.000 0.500
Li 0.500 0.500 0.000
Ac 0.250 0.250 0.250
Ac 0.250 0.750 0.750
Ac 0.750 0.250 0.750
Ac 0.750 0.750 0.250
Hg 0.250 0.250 0.750
Hg 0.250 0.750 0.250
Hg 0.750 0.250 0.250
Hg 0.750 0.750 0.750
Rh 0.000 0.000 0.500
Rh 0.000 0.500 0.000
Rh 0.500 0.000 0.000
Rh 0.500 0.500 0.500
```

N(E_F)	0.4380	states/eV per atom
energy relative to the elements	-0.32	eV per atom
symmetry	F-43m, No. 216
total magnetic moment	0.00	Bohr magnetons per cell


10.
A plane-wave DFT calculation with GGA-PBE was carried out for an optimized crystal structure of Zr4ScHg5. Values from VASP.

Structure (Quantum ESPRESSO input):
```
&SYSTEM
  ibrav = 0, nat = 10, ntyp = 3
/
ATOMIC_SPECIES
Zr 91.22 Zr.upf
Sc 44.96 Sc.upf
Hg 200.59 Hg.upf
CELL_PARAMETERS angstrom
3.511 0.000 0.000
0.000 3.511 0.000
0.000 0.000 17.704
ATOMIC_POSITIONS crystal
Zr 0.000 0.000 0.100
Zr 0.000 0.000 0.300
Zr 0.000 0.000 0.700
Zr 0.000 0.000 0.900
Sc 0.000 0.000 0.500
Hg 0.500 0.500 0.000
Hg 0.500 0.500 0.200
Hg 0.500 0.500 0.404
Hg 0.500 0.500 0.596
Hg 0.500 0.500 0.800
```

N(E_F)	0.9790	states/eV per atom
energy relative to the elements	-0.20	eV per atom
symmetry	P4/mmm, No. 123
total magnetic moment	0.00	Bohr magnetons per cell


11.
A plane-wave DFT calculation with GGA-PBE was carried out for an optimized crystal structure of Ce2HoSc3Se6. Values from VASP.

Structure (Quantum ESPRESSO input):
```
&SYSTEM
  ibrav = 0, nat = 12, ntyp = 4
/
ATOMIC_SPECIES
Ce 140.12 Ce.upf
Ho 164.93 Ho.upf
Sc 44.96 Sc.upf
Se 78.96 Se.upf
CELL_PARAMETERS angstrom
3.457 -5.995 0.000
3.457 5.995 0.000
-2.311 0.000 6.619
ATOMIC_POSITIONS crystal
Ce 0.167 0.833 0.000
Ce 0.833 0.167 0.000
Ho 0.500 0.500 0.000
Sc 0.000 0.000 0.500
Sc 0.334 0.666 0.500
Sc 0.666 0.334 0.500
Se 0.082 0.409 0.728
Se 0.264 0.264 0.271
Se 0.409 0.082 0.728
Se 0.591 0.918 0.272
Se 0.736 0.736 0.729
Se 0.918 0.591 0.272
```

N(E_F)	1.2461	states/eV per atom
raw formation energy	-1.684	eV per atom
symmetry	C2/m, No. 12
total magnetic moment	1.90	Bohr magnetons per cell


12.
A plane-wave DFT calculation with GGA-PBE was carried out for an optimized crystal structure of Sm3BeSi2Pt9. Values from VASP.

Structure (Quantum ESPRESSO input):
```
&SYSTEM
  ibrav = 0, nat = 15, ntyp = 4
/
ATOMIC_SPECIES
Sm 150.36 Sm.upf
Be 9.01 Be.upf
Si 28.09 Si.upf
Pt 195.08 Pt.upf
CELL_PARAMETERS angstrom
6.348 0.000 0.000
-3.174 5.498 0.000
0.000 0.000 8.292
ATOMIC_POSITIONS crystal
Sm 0.000 0.000 0.000
Sm 0.333 0.667 0.652
Sm 0.667 0.333 0.348
Be 0.000 0.000 0.500
Si 0.333 0.667 0.192
Si 0.667 0.333 0.808
Pt 0.000 0.500 0.000
Pt 0.144 0.288 0.305
Pt 0.144 0.856 0.305
Pt 0.288 0.144 0.695
Pt 0.500 0.000 0.000
Pt 0.500 0.500 0.000
Pt 0.712 0.856 0.305
Pt 0.856 0.144 0.695
Pt 0.856 0.712 0.695
```

N(E_F)	0.4207	states/eV per atom
raw formation energy	-0.773	eV per atom
symmetry	P-3m1, No. 164
total magnetic moment	0.00	Bohr magnetons per cell